DFT (PBE) results for a relaxed Ba2CdBr6 crystal.

Summary:
- space group = P4_2/mnm
- ΔE to the lowest computed polymorph (eV/atom) = 0.063

CIF file:
```
data_Ba2CdBr6
_chemical_formula_sum 'Ba4 Cd2 Br12'
_space_group_name_H-M_alt 'P 1'
_space_group_IT_number 1
_cell_length_a 7.246
_cell_length_b 7.246
_cell_length_c 14.161
_cell_angle_alpha 90.00
_cell_angle_beta 90.00
_cell_angle_gamma 90.00
loop_
_space_group_symop_operation_xyz
'x,y,z'
loop_
_atom_site_label
_atom_site_type_symbol
_atom_site_fract_x
_atom_site_fract_y
_atom_site_fract_z
Ba1 Ba 0.000 0.000 0.166
Ba2 Ba 0.000 0.000 0.834
Ba3 Ba 0.500 0.500 0.334
Ba4 Ba 0.500 0.500 0.666
Cd1 Cd 0.000 0.000 0.500
Cd2 Cd 0.500 0.500 0.000
Br1 Br 0.185 0.185 0.353
Br2 Br 0.185 0.185 0.647
Br3 Br 0.219 0.219 0.000
Br4 Br 0.281 0.719 0.500
Br5 Br 0.315 0.685 0.147
Br6 Br 0.315 0.685 0.853
Br7 Br 0.685 0.315 0.147
Br8 Br 0.685 0.315 0.853
Br9 Br 0.719 0.281 0.500
Br10 Br 0.781 0.781 0.000
Br11 Br 0.815 0.815 0.353
Br12 Br 0.815 0.815 0.647
```

---

DFT (PBE) results for a relaxed BaCd2Br crystal.

Summary:
- space group = Pmmm
- ΔE to the lowest computed polymorph (eV/atom) = 0.174

CIF file:
```
data_BaCd2Br
_chemical_formula_sum 'Ba1 Cd2 Br1'
_space_group_name_H-M_alt 'P 1'
_space_group_IT_number 1
_cell_length_a 4.710
_cell_length_b 5.095
_cell_length_c 6.313
_cell_angle_alpha 90.00
_cell_angle_beta 90.00
_cell_angle_gamma 90.00
loop_
_space_group_symop_operation_xyz
'x,y,z'
loop_
_atom_site_label
_atom_site_type_symbol
_atom_site_fract_x
_atom_site_fract_y
_atom_site_fract_z
Ba1 Ba 0.000 0.000 0.000
Cd1 Cd 0.500 0.500 0.264
Cd2 Cd 0.500 0.500 0.736
Br1 Br 0.000 0.000 0.500
```

---

DFT (PBE) results for a relaxed Ba2CdBr6 crystal.

Summary:
- space group = P2_1/c
- ΔE to the lowest computed polymorph (eV/atom) = 0.000

CIF file:
```
data_Ba2CdBr6
_chemical_formula_sum 'Ba4 Cd2 Br12'
_space_group_name_H-M_alt 'P 1'
_space_group_IT_number 1
_cell_length_a 7.273
_cell_length_b 8.520
_cell_length_c 12.412
_cell_angle_alpha 90.00
_cell_angle_beta 124.35
_cell_angle_gamma 90.00
loop_
_space_group_symop_operation_xyz
'x,y,z'
loop_
_atom_site_label
_atom_site_type_symbol
_atom_site_fract_x
_atom_site_fract_y
_atom_site_fract_z
Ba1 Ba 0.218 0.111 0.256
Ba2 Ba 0.218 0.389 0.756
Ba3 Ba 0.782 0.611 0.244
Ba4 Ba 0.782 0.889 0.744
Cd1 Cd 0.500 0.000 0.000
Cd2 Cd 0.500 0.500 0.500
Br1 Br 0.121 0.165 0.946
Br2 Br 0.121 0.335 0.446
Br3 Br 0.286 0.697 0.946
Br4 Br 0.286 0.803 0.446
Br5 Br 0.354 0.026 0.743
Br6 Br 0.354 0.474 0.243
Br7 Br 0.646 0.526 0.757
Br8 Br 0.646 0.974 0.257
Br9 Br 0.714 0.197 0.554
Br10 Br 0.714 0.303 0.054
Br11 Br 0.879 0.665 0.554
Br12 Br 0.879 0.835 0.054
```

---

DFT (PBE) results for a relaxed BaCd4Br crystal.

Summary:
- space group = F-43m

CIF file:
```
data_BaCd4Br
_chemical_formula_sum 'Ba1 Cd4 Br1'
_space_group_name_H-M_alt 'P 1'
_space_group_IT_number 1
_cell_length_a 6.367
_cell_length_b 6.367
_cell_length_c 6.367
_cell_angle_alpha 60.00
_cell_angle_beta 60.00
_cell_angle_gamma 60.00
loop_
_space_group_symop_operation_xyz
'x,y,z'
loop_
_atom_site_label
_atom_site_type_symbol
_atom_site_fract_x
_atom_site_fract_y
_atom_site_fract_z
Ba1 Ba 0.000 0.000 0.000
Cd1 Cd 0.376 0.376 0.376
Cd2 Cd 0.376 0.376 0.873
Cd3 Cd 0.376 0.873 0.376
Cd4 Cd 0.873 0.376 0.376
Br1 Br 0.750 0.750 0.750
```

---

DFT (PBE) results for a relaxed BaCd2Br crystal.

Summary:
- space group = Imm2
- ΔE to the lowest computed polymorph (eV/atom) = 0.110

CIF file:
```
data_BaCd2Br
_chemical_formula_sum 'Ba1 Cd2 Br1'
_space_group_name_H-M_alt 'P 1'
_space_group_IT_number 1
_cell_length_a 6.120
_cell_length_b 6.120
_cell_length_c 6.120
_cell_angle_alpha 130.13
_cell_angle_beta 128.96
_cell_angle_gamma 74.14
loop_
_space_group_symop_operation_xyz
'x,y,z'
loop_
_atom_site_label
_atom_site_type_symbol
_atom_site_fract_x
_atom_site_fract_y
_atom_site_fract_z
Ba1 Ba 0.000 0.000 0.000
Cd1 Cd 0.502 0.502 0.000
Cd2 Cd 0.747 0.247 0.500
Br1 Br 0.249 0.749 0.500
```

---

DFT (PBE) results for a relaxed Cs3BaCd2Br9 crystal.

Summary:
- space group = P-3m1

CIF file:
```
data_Cs3BaCd2Br9
_chemical_formula_sum 'Cs3 Ba1 Cd2 Br9'
_space_group_name_H-M_alt 'P 1'
_space_group_IT_number 1
_cell_length_a 8.141
_cell_length_b 8.141
_cell_length_c 10.478
_cell_angle_alpha 90.00
_cell_angle_beta 90.00
_cell_angle_gamma 120.00
loop_
_space_group_symop_operation_xyz
'x,y,z'
loop_
_atom_site_label
_atom_site_type_symbol
_atom_site_fract_x
_atom_site_fract_y
_atom_site_fract_z
Cs1 Cs 0.000 0.000 0.000
Cs2 Cs 0.333 0.667 0.711
Cs3 Cs 0.667 0.333 0.289
Ba1 Ba 0.000 0.000 0.500
Cd1 Cd 0.333 0.667 0.157
Cd2 Cd 0.667 0.333 0.843
Br1 Br 0.000 0.500 0.000
Br2 Br 0.172 0.345 0.307
Br3 Br 0.172 0.828 0.307
Br4 Br 0.345 0.172 0.693
Br5 Br 0.500 0.000 0.000
Br6 Br 0.500 0.500 0.000
Br7 Br 0.655 0.828 0.307
Br8 Br 0.828 0.172 0.693
Br9 Br 0.828 0.655 0.693
```

---

DFT (PBE) results for a relaxed CsBaCdBr5 crystal.

Summary:
- space group = C2/c

CIF file:
```
data_CsBaCdBr5
_chemical_formula_sum 'Cs2 Ba2 Cd2 Br10'
_space_group_name_H-M_alt 'P 1'
_space_group_IT_number 1
_cell_length_a 8.664
_cell_length_b 8.664
_cell_length_c 11.345
_cell_angle_alpha 103.58
_cell_angle_beta 103.58
_cell_angle_gamma 106.94
loop_
_space_group_symop_operation_xyz
'x,y,z'
loop_
_atom_site_label
_atom_site_type_symbol
_atom_site_fract_x
_atom_site_fract_y
_atom_site_fract_z
Cs1 Cs 0.148 0.852 0.750
Cs2 Cs 0.852 0.148 0.250
Ba1 Ba 0.500 0.500 0.000
Ba2 Ba 0.500 0.500 0.500
Cd1 Cd 0.184 0.816 0.250
Cd2 Cd 0.816 0.184 0.750
Br1 Br 0.104 0.242 0.931
Br2 Br 0.168 0.589 0.372
Br3 Br 0.242 0.104 0.431
Br4 Br 0.402 0.598 0.750
Br5 Br 0.411 0.832 0.128
Br6 Br 0.589 0.168 0.872
Br7 Br 0.598 0.402 0.250
Br8 Br 0.758 0.896 0.569
Br9 Br 0.832 0.411 0.628
Br10 Br 0.896 0.758 0.069
```

---

DFT (PBE) results for a relaxed Cs2BaCdBr6 crystal.

Summary:
- space group = Fm-3m
- ΔE to the lowest computed polymorph (eV/atom) = 0.014

CIF file:
```
data_Cs2BaCdBr6
_chemical_formula_sum 'Cs2 Ba1 Cd1 Br6'
_space_group_name_H-M_alt 'P 1'
_space_group_IT_number 1
_cell_length_a 8.422
_cell_length_b 8.422
_cell_length_c 8.422
_cell_angle_alpha 60.00
_cell_angle_beta 60.00
_cell_angle_gamma 60.00
loop_
_space_group_symop_operation_xyz
'x,y,z'
loop_
_atom_site_label
_atom_site_type_symbol
_atom_site_fract_x
_atom_site_fract_y
_atom_site_fract_z
Cs1 Cs 0.250 0.250 0.250
Cs2 Cs 0.750 0.750 0.750
Ba1 Ba 0.000 0.000 0.000
Cd1 Cd 0.500 0.500 0.500
Br1 Br 0.265 0.265 0.735
Br2 Br 0.265 0.735 0.265
Br3 Br 0.265 0.735 0.735
Br4 Br 0.735 0.265 0.265
Br5 Br 0.735 0.265 0.735
Br6 Br 0.735 0.735 0.265
```

---

DFT (PBE) results for a relaxed Cs2BaCdBr6 crystal.

Summary:
- space group = P2_1/c
- ΔE to the lowest computed polymorph (eV/atom) = 0.000

CIF file:
```
data_Cs2BaCdBr6
_chemical_formula_sum 'Cs4 Ba2 Cd2 Br12'
_space_group_name_H-M_alt 'P 1'
_space_group_IT_number 1
_cell_length_a 8.259
_cell_length_b 8.437
_cell_length_c 14.333
_cell_angle_alpha 90.00
_cell_angle_beta 124.59
_cell_angle_gamma 90.00
loop_
_space_group_symop_operation_xyz
'x,y,z'
loop_
_atom_site_label
_atom_site_type_symbol
_atom_site_fract_x
_atom_site_fract_y
_atom_site_fract_z
Cs1 Cs 0.233 0.052 0.248
Cs2 Cs 0.233 0.448 0.748
Cs3 Cs 0.767 0.552 0.252
Cs4 Cs 0.767 0.948 0.752
Ba1 Ba 0.500 0.000 0.000
Ba2 Ba 0.500 0.500 0.500
Cd1 Cd 0.000 0.000 0.500
Cd2 Cd 0.000 0.500 0.000
Br1 Br 0.153 0.226 0.961
Br2 Br 0.153 0.274 0.461
Br3 Br 0.238 0.694 0.963
Br4 Br 0.238 0.806 0.463
Br5 Br 0.305 0.014 0.733
Br6 Br 0.305 0.486 0.233
Br7 Br 0.695 0.514 0.767
Br8 Br 0.695 0.986 0.267
Br9 Br 0.762 0.194 0.537
Br10 Br 0.762 0.306 0.037
Br11 Br 0.847 0.726 0.539
Br12 Br 0.847 0.774 0.039
```

---

DFT (PBE) results for a relaxed Ba3CdBr2F6 crystal.

Summary:
- space group = C2/m

CIF file:
```
data_Ba3CdBr2F6
_chemical_formula_sum 'Ba3 Cd1 Br2 F6'
_space_group_name_H-M_alt 'P 1'
_space_group_IT_number 1
_cell_length_a 8.144
_cell_length_b 8.144
_cell_length_c 5.690
_cell_angle_alpha 97.15
_cell_angle_beta 97.15
_cell_angle_gamma 58.17
loop_
_space_group_symop_operation_xyz
'x,y,z'
loop_
_atom_site_label
_atom_site_type_symbol
_atom_site_fract_x
_atom_site_fract_y
_atom_site_fract_z
Ba1 Ba 0.000 0.000 0.000
Ba2 Ba 0.000 0.500 0.500
Ba3 Ba 0.500 0.000 0.500
Cd1 Cd 0.500 0.500 0.500
Br1 Br 0.215 0.215 0.922
Br2 Br 0.785 0.785 0.078
F1 F 0.178 0.688 0.692
F2 F 0.312 0.822 0.308
F3 F 0.350 0.350 0.377
F4 F 0.650 0.650 0.623
F5 F 0.688 0.178 0.692
F6 F 0.822 0.312 0.308
```

---

Number 1: DFT total energy -3.33 eV per atom, raw formation energy -1.685 eV/atom. Number 2: DFT total energy -1.92 eV per atom, raw formation energy -0.565 eV/atom. Number 3: DFT total energy -3.39 eV per atom, raw formation energy -1.748 eV/atom. Number 4: DFT total energy -1.56 eV per atom, raw formation energy -0.346 eV/atom. Number 5: DFT total energy -1.99 eV per atom, raw formation energy -0.629 eV/atom. Number 6: DFT total energy -2.91 eV per atom, raw formation energy -1.483 eV/atom. Number 7: DFT total energy -3.09 eV per atom, raw formation energy -1.585 eV/atom. Number 8: DFT total energy -3.07 eV per atom, raw formation energy -1.611 eV/atom. Number 9: DFT total energy -3.08 eV per atom, raw formation energy -1.626 eV/atom. Number 10: DFT total energy -4.63 eV per atom, raw formation energy -2.856 eV/atom.